1.
Density functional theory data (PBE) for a geometry-optimized FeAsBr2 structure.

POSCAR file:
```
FeAsBr2
1.0
-3.635 -8.769 3.991
-0.322 -9.505 3.949
-1.643 -7.773 6.552
As Fe Br
1 1 2
Direct
0.000 0.000 0.000
0.500 0.500 0.500
0.879 0.879 0.879
0.121 0.121 0.121
```

Calculated values
ΔE to the lowest computed polymorph: 0.432 eV per atom
Calculated volume: 25.20 Å³ per atom
SG: R-3m (166)
VASP energy: -3.728 eV per atom
M_tot: 0.609 μB per formula unit


2.
Density functional theory data (PBE) for a geometry-optimized FeAsBr structure.

POSCAR file:
```
FeAsBr
1.0
4.219 0.000 0.000
2.110 3.654 0.000
2.110 1.218 3.445
As Br Fe
1 1 1
Direct
0.000 0.000 0.000
0.500 0.500 0.500
0.750 0.750 0.750
```

Calculated values
ΔE to the lowest computed polymorph: 0.368 eV per atom
Calculated volume: 17.70 Å³ per atom
SG: F-43m (216)
VASP energy: -4.512 eV per atom
M_tot: 0.184 μB per formula unit


3.
Density functional theory data (PBE) for a geometry-optimized FeAsBr2 structure.

POSCAR file:
```
FeAsBr2
1.0
4.990 -0.010 0.000
0.028 4.990 0.000
0.000 0.000 3.355
Br As Fe
2 1 1
Direct
0.000 0.000 0.000
0.500 0.500 0.000
0.000 0.500 0.500
0.500 0.000 0.500
```

Calculated values
ΔE to the lowest computed polymorph: 0.752 eV per atom
Calculated volume: 20.89 Å³ per atom
SG: Cmmm (65)
VASP energy: -3.408 eV per atom
M_tot: 3.434 μB per formula unit


4.
Density functional theory data (PBE) for a geometry-optimized FeAs3Br structure.

POSCAR file:
```
FeAs3Br
1.0
5.030 0.000 0.000
0.000 5.030 0.000
0.000 0.000 5.030
Br As Fe
1 3 1
Direct
0.000 0.000 0.000
0.000 0.500 0.000
0.000 0.000 0.500
0.500 0.000 0.000
0.500 0.500 0.500
```

Calculated values
ΔE to the lowest computed polymorph: 1.172 eV per atom
Calculated volume: 25.45 Å³ per atom
SG: Pm-3m (221)
VASP energy: -3.245 eV per atom
M_tot: 3.618 μB per formula unit